10
Lattice="0.000 3.980 3.980 3.980 0.000 3.980 3.980 3.980 0.000" Properties=species:S:1:pos:R:3 comment="SrEuZrFeO6 (GGA+U, relaxed)" magmom_total_mub_per_fu=8.36 energy_ev_per_atom=-7.968 pbc="T T T"
Sr 0.000 0.000 0.000
Eu 3.980 3.980 3.980
Zr 5.971 5.971 5.971
Fe 1.990 1.990 1.990
O 1.990 1.990 0.090
O 1.990 0.090 1.990
O 3.890 1.990 1.990
O 0.090 1.990 1.990
O 1.990 3.890 1.990
O 1.990 1.990 3.890